RbB2Se2 | PBE | optimized geometry

Geometry as POSCAR:
```
RbB2Se2
1.0
-3.788 2.553 1.094
-2.081 -3.834 1.741
-1.362 0.145 5.027
B Se Rb
2 2 1
Direct
0.384 0.384 0.232 B
0.616 0.616 0.768 B
0.750 0.250 0.500 Se
0.250 0.750 0.500 Se
0.000 0.000 0.000 Rb
```

Summary:
**Raw formation energy**: 0.68 eV per atom
**Volume**: 88.6 Å³/cell
**Symmetry**: No. 139
**Distance to the lowest polymorph of the same formula**: 0.0 meV per atom
**Mass density**: 4.97 Mg/m³